DFT (PBE-GGA) results for a geometry-optimized K2RhW structure.

Results
Spin magnetization = 0.00 μB/atom
Energy relative to the lowest polymorph listed for this composition = 222 kJ/mol of formula units
Raw total energy = -4.374 eV per atom
Symmetry = P4/mmm

The structure in extended XYZ format:
```
4
Lattice="3.8281 0.0000 0.0000 0.0000 3.8281 0.0000 0.0000 0.0000 5.8669" Properties=species:S:1:pos:R:3 pbc="T T T"
K 0.0000 0.0000 0.0000
K 1.9141 1.9141 0.0000
Rh 1.9141 0.0000 2.9334
W 0.0000 1.9141 2.9334
```


DFT (PBE-GGA) results for a geometry-optimized KRhW3 structure.

Results
Spin magnetization = 0.41 μB/atom
Energy relative to the lowest polymorph listed for this composition = 0 kJ/mol of formula units
Raw total energy = -7.274 eV per atom
Symmetry = Pm-3m

The structure in extended XYZ format:
```
5
Lattice="-0.7010 4.5997 -1.4206 -4.4167 -1.1856 -1.6595 -1.9152 1.0506 4.3469" Properties=species:S:1:pos:R:3 pbc="T T T"
K -3.5165 2.2324 0.6334
Rh 0.0000 0.0000 0.0000
W -2.2084 -0.5928 -0.8297
W -0.9576 0.5253 2.1734
W -0.3505 2.2999 -0.7103
```


DFT (PBE-GGA) results for a geometry-optimized KRhW2 structure.

Results
Spin magnetization = 0.00 μB/atom
Energy relative to the lowest polymorph listed for this composition = 407 kJ/mol of formula units
Raw total energy = -6.914 eV per atom
Symmetry = Fm-3m

The structure in extended XYZ format:
```
4
Lattice="0.7958 2.4479 3.7818 -3.2120 0.3092 3.2426 0.5895 -2.1162 4.0126" Properties=species:S:1:pos:R:3 pbc="T T T"
K 0.0000 0.0000 0.0000
Rh -0.9134 0.3205 5.5185
W -0.4567 0.1602 2.7592
W -1.3701 0.4807 8.2777
```


DFT (PBE-GGA) results for a geometry-optimized KRhW2 structure.

Results
Spin magnetization = 0.00 μB/atom
Energy relative to the lowest polymorph listed for this composition = 277 kJ/mol of formula units
Raw total energy = -7.249 eV per atom
Symmetry = Pmmm

The structure in extended XYZ format:
```
4
Lattice="-1.3233 2.4619 1.0213 -3.3194 -2.5922 1.9477 2.7946 -0.3052 4.3567" Properties=species:S:1:pos:R:3 pbc="T T T"
K 0.7357 1.0784 2.6890
Rh -0.2624 -1.4487 3.1522
W 0.0000 0.0000 0.0000
W -2.3214 -0.0651 1.4845
```


DFT (PBE-GGA) results for a geometry-optimized K2RhW structure.

Results
Spin magnetization = 0.13 μB/atom
Energy relative to the lowest polymorph listed for this composition = 196 kJ/mol of formula units
Raw total energy = -4.443 eV per atom
Symmetry = Cmmm

The structure in extended XYZ format:
```
4
Lattice="2.8167 0.0070 0.0000 -1.1824 2.5565 0.0000 0.0000 0.0000 11.7625" Properties=species:S:1:pos:R:3 pbc="T T T"
K 0.0000 0.0000 0.2362
K 0.0000 0.0000 5.6451
Rh 0.8171 1.2817 2.9406
W 0.8171 1.2817 8.8219
```


DFT (PBE-GGA) results for a geometry-optimized KRhW2 structure.

Results
Spin magnetization = 0.00 μB/atom
Energy relative to the lowest polymorph listed for this composition = 429 kJ/mol of formula units
Raw total energy = -6.856 eV per atom
Symmetry = I-42d

The structure in extended XYZ format:
```
8
Lattice="-3.1993 -0.6119 3.3954 2.8788 -3.0254 2.1674 3.4939 5.0061 7.4544" Properties=species:S:1:pos:R:3 pbc="T T T"
K -0.1602 -1.8187 2.7814
K 3.1062 0.0810 6.2015
Rh 0.0000 0.0000 0.0000
Rh 0.0672 1.2878 6.8155
W -1.2852 0.3916 4.8074
W -0.4075 -1.2285 6.4872
W 2.0332 2.8813 7.3252
W -0.0718 3.1065 8.6424
```


DFT (PBE-GGA) results for a geometry-optimized K2RhW structure.

Results
Spin magnetization = 0.00 μB/atom
Energy relative to the lowest polymorph listed for this composition = 226 kJ/mol of formula units
Raw total energy = -4.366 eV per atom
Symmetry = Cmmm

The structure in extended XYZ format:
```
4
Lattice="6.3657 0.0140 0.0000 -4.1370 4.8381 0.0000 0.0000 0.0000 2.8075" Properties=species:S:1:pos:R:3 pbc="T T T"
K 0.0000 0.0000 0.0000
K 1.1143 2.4261 0.0000
Rh 3.1828 0.0070 1.4037
W -2.0685 2.4191 1.4037
```


DFT (PBE-GGA) results for a geometry-optimized K2RhW structure.

Results
Spin magnetization = 0.00 μB/atom
Energy relative to the lowest polymorph listed for this composition = 214 kJ/mol of formula units
Raw total energy = -4.397 eV per atom
Symmetry = P2/m

The structure in extended XYZ format:
```
4
Lattice="5.9438 0.0000 0.0000 0.0000 2.8356 0.0081 0.0000 0.2753 4.9855" Properties=species:S:1:pos:R:3 pbc="T T T"
K 0.0000 0.0393 0.0291
K 0.0000 1.5161 2.4677
Rh 2.9719 0.7777 1.2484
W 2.9719 2.3331 3.7452
```